An optimized crystal structure of Sm3HoTl4S8, computed with PBE.

- E_form (uncorrected): -1472 meV per atom
- DOS at the Fermi energy: 0.00 states/eV/cell
- Space-group type: R-3m

a = 8.196 Å, b = 8.880 Å, c = 8.196 Å
α = 117.50°, β = 120.00°, γ = 90.00°
Element x y z (fractional)
Sm1 0.500 0.500 0.000
Sm2 0.500 0.500 0.500
Sm3 0.000 0.500 0.500
Ho1 0.000 0.500 0.000
Tl1 0.500 0.000 0.000
Tl2 0.500 0.000 0.500
Tl3 0.000 0.000 0.000
Tl4 0.000 0.000 0.500
S1 0.230 0.700 0.970
S2 0.230 0.700 0.461
S3 0.266 0.297 0.531
S4 0.739 0.700 0.970
S5 0.261 0.300 0.030
S6 0.734 0.703 0.469
S7 0.770 0.300 0.539
S8 0.770 0.300 0.030

***

An optimized crystal structure of NaGaAg2, computed with PBE.

- Formation energy: 0.02 eV/atom
- DOS at the Fermi energy: 1.78 states/eV/cell
- Space-group type: P4/mmm

a = 3.242 Å, b = 3.242 Å, c = 7.570 Å
α = 90.00°, β = 90.00°, γ = 90.00°
Element x y z (fractional)
Na1 0.500 0.500 0.500
Ga1 0.500 0.500 0.000
Ag1 0.000 0.000 0.789
Ag2 0.000 0.000 0.211

***

An optimized crystal structure of Sn2PdSe2, computed with PBE.

- E_form (uncorrected): -313 meV per atom
- DOS at the Fermi energy: 1.19 states/eV/cell
- Space-group type: C2/c

a = 4.307 Å, b = 4.307 Å, c = 13.671 Å
α = 99.04°, β = 99.04°, γ = 90.00°
Element x y z (fractional)
Sn1 0.930 0.429 0.861
Sn2 0.679 0.680 0.361
Sn3 0.320 0.321 0.639
Sn4 0.571 0.070 0.139
Pd1 0.499 0.501 0.000
Pd2 0.751 0.249 0.500
Se1 0.807 0.808 0.617
Se2 0.058 0.557 0.117
Se3 0.443 0.942 0.883
Se4 0.192 0.193 0.383